## InCuP (PBE)

Data for a relaxed InCuP crystal.

The structure in CIF format:
```
data_InCuP
_cell_length_a 4.244
_cell_length_b 4.244
_cell_length_c 6.166
_cell_angle_alpha 90.00
_cell_angle_beta 90.00
_cell_angle_gamma 90.00
_space_group_name_H-M_alt 'P 1'
_space_group_IT_number 1
_space_group_name_Hall 'P 1'
loop_
_atom_site_label
_atom_site_fract_x
_atom_site_fract_y
_atom_site_fract_z
_atom_site_occupancy
In1 0.000 0.000 0.250 1
In2 0.000 0.000 0.750 1
Cu1 0.000 0.500 0.000 1
Cu2 0.500 0.000 0.500 1
P1 0.500 0.500 0.250 1
P2 0.500 0.500 0.750 1
```

The value obtained for the total energy is -3.752 eV per atom.


## SmGaMo (PBE)

Data for a relaxed SmGaMo crystal.

The structure in CIF format:
```
data_SmGaMo
_cell_length_a 4.614
_cell_length_b 4.614
_cell_length_c 4.614
_cell_angle_alpha 60.00
_cell_angle_beta 60.00
_cell_angle_gamma 60.00
_space_group_name_H-M_alt 'P 1'
_space_group_IT_number 1
_space_group_name_Hall 'P 1'
loop_
_atom_site_label
_atom_site_fract_x
_atom_site_fract_y
_atom_site_fract_z
_atom_site_occupancy
Sm1 0.000 0.000 0.000 1
Ga1 0.750 0.750 0.750 1
Mo1 0.500 0.500 0.500 1
```

For the excess energy over the best structure of this formula in the dataset, the calculation gives 0.0 kJ per mole of atoms.


## ErI (PBE)

Data for a relaxed ErI crystal.

The structure in CIF format:
```
data_ErI
_cell_length_a 3.778
_cell_length_b 3.778
_cell_length_c 4.653
_cell_angle_alpha 90.00
_cell_angle_beta 90.00
_cell_angle_gamma 120.00
_space_group_name_H-M_alt 'P 1'
_space_group_IT_number 1
_space_group_name_Hall 'P 1'
loop_
_atom_site_label
_atom_site_fract_x
_atom_site_fract_y
_atom_site_fract_z
_atom_site_occupancy
Er1 0.000 0.000 0.000 1
I1 0.667 0.333 0.500 1
```

The value obtained for the total energy is -3.738 eV per atom.


## La2DyMg3Tl2In (PBE)

Data for a relaxed La2DyMg3Tl2In crystal.

The structure in CIF format:
```
data_La2DyMg3Tl2In
_cell_length_a 4.789
_cell_length_b 7.684
_cell_length_c 7.684
_cell_angle_alpha 119.11
_cell_angle_beta 90.00
_cell_angle_gamma 90.00
_space_group_name_H-M_alt 'P 1'
_space_group_IT_number 1
_space_group_name_Hall 'P 1'
loop_
_atom_site_label
_atom_site_fract_x
_atom_site_fract_y
_atom_site_fract_z
_atom_site_occupancy
La1 0.000 0.216 0.784 1
La2 0.000 0.784 0.216 1
Dy1 0.000 0.357 0.357 1
Mg1 0.500 0.022 0.022 1
Mg2 0.500 0.542 0.783 1
Mg3 0.500 0.783 0.542 1
Tl1 0.500 0.125 0.445 1
Tl2 0.500 0.445 0.125 1
In1 0.000 0.773 0.773 1
```

The value obtained for the total energy is -3.331 eV per atom.


## SiNiMoW (PBE)

Data for a relaxed SiNiMoW crystal.

The structure in CIF format:
```
data_SiNiMoW
_cell_length_a 4.285
_cell_length_b 4.285
_cell_length_c 4.285
_cell_angle_alpha 60.00
_cell_angle_beta 60.00
_cell_angle_gamma 60.00
_space_group_name_H-M_alt 'P 1'
_space_group_IT_number 1
_space_group_name_Hall 'P 1'
loop_
_atom_site_label
_atom_site_fract_x
_atom_site_fract_y
_atom_site_fract_z
_atom_site_occupancy
Si1 0.000 0.000 0.000 1
Ni1 0.250 0.250 0.250 1
Mo1 0.750 0.750 0.750 1
W1 0.500 0.500 0.500 1
```

The value obtained for the total energy is -8.646 eV per atom.


## PuGaAg (PBE)

Data for a relaxed PuGaAg crystal.

The structure in CIF format:
```
data_PuGaAg
_cell_length_a 4.746
_cell_length_b 4.746
_cell_length_c 4.746
_cell_angle_alpha 60.00
_cell_angle_beta 60.00
_cell_angle_gamma 60.00
_space_group_name_H-M_alt 'P 1'
_space_group_IT_number 1
_space_group_name_Hall 'P 1'
loop_
_atom_site_label
_atom_site_fract_x
_atom_site_fract_y
_atom_site_fract_z
_atom_site_occupancy
Pu1 0.000 0.000 0.000 1
Ga1 0.500 0.500 0.500 1
Ag1 0.750 0.750 0.750 1
```

The value obtained for the total energy is -6.578 eV per atom.


no.,calculated density (Mg/m³),V (Å³/cell)
1,6.3,111
2,7.6,69
3,8.5,58
4,7.0,247
5,10.9,56
6,9.3,76